# TaCo2PbO6

A geometry-optimized TaCo2PbO6 structure (PBE+U, the Open Quantum Materials Database).

Computed properties:
Total DFT energy (no corrections) (eV/atom): -6.626

a b c (Å): 3.630 3.630 7.771
angles (deg): 90.00 90.00 90.00
Fractional coordinates of all 10 atoms:
Ta: 0.000 0.000 0.000
Co: 0.500 0.500 0.240
Co: 0.500 0.500 0.760
Pb: 0.000 0.000 0.500
O: 0.000 0.500 0.188
O: 0.000 0.500 0.812
O: 0.500 0.000 0.188
O: 0.500 0.000 0.812
O: 0.500 0.500 0.000
O: 0.500 0.500 0.500